# 1
## MgV4S8 (SCAN)

Data for a crystal of MgV4S8 relaxed with PBEsol.

The calculation puts the formation energy without anion corrections at -1095.3 meV/atom. As for the space group: No. 166.

```
13
Lattice="3.156 1.822 6.445 -3.156 1.822 6.445 0.000 -3.644 6.445" Properties=species:S:1:pos:R:3 pbc="T T T"
Mg 0.000 0.000 0.000
V -3.156 0.000 9.667
V -1.578 0.911 3.222
V 1.578 0.911 3.222
V 0.000 0.000 9.667
S 0.000 0.000 4.683
S -1.572 -0.908 11.135
S 0.000 -1.815 8.199
S -1.572 0.908 8.199
S 1.572 -0.908 11.135
S 0.000 1.815 11.135
S 1.572 0.908 8.199
S 0.000 0.000 14.652
```

# 2
## MgWS2 (SCAN)

Data for a crystal of MgWS2 relaxed with PBEsol.

The calculation puts the formation energy without anion corrections at -264.8 meV/atom. As for the space group: No. 122.

```
16
Lattice="5.340 0.000 0.000 0.000 5.340 0.000 0.000 0.000 11.509" Properties=species:S:1:pos:R:3 pbc="T T T"
Mg 0.000 0.000 0.000
Mg 0.000 2.670 2.877
Mg 2.670 0.000 8.632
Mg 2.670 2.670 5.754
W 0.000 0.000 5.754
W 0.000 2.670 8.632
W 2.670 0.000 2.877
W 2.670 2.670 0.000
S 1.187 1.335 7.193
S 1.335 3.857 10.070
S 1.335 4.153 4.316
S 1.483 1.335 1.439
S 3.857 4.005 1.439
S 4.005 1.187 4.316
S 4.005 1.483 10.070
S 4.153 4.005 7.193
```

# 3
## MgZn3S4 (SCAN)

Data for a crystal of MgZn3S4 relaxed with PBEsol.

The calculation puts the formation energy without anion corrections at -1106.0 meV/atom. As for the space group: No. 215.

```
8
Lattice="5.434 0.000 0.000 0.000 5.434 0.000 0.000 0.000 5.434" Properties=species:S:1:pos:R:3 pbc="T T T"
Mg 0.000 0.000 0.000
Zn 0.000 2.717 2.717
Zn 2.717 0.000 2.717
Zn 2.717 2.717 0.000
S 1.397 1.397 1.397
S 1.397 4.037 4.037
S 4.037 1.397 4.037
S 4.037 4.037 1.397
```

# 4
## MgZn3S4 (SCAN)

Data for a crystal of MgZn3S4 relaxed with PBEsol.

The calculation puts the formation energy without anion corrections at -1105.3 meV/atom. As for the space group: No. 6.

```
8
Lattice="6.281 0.000 0.000 0.000 3.834 0.000 -0.007 0.000 6.667" Properties=species:S:1:pos:R:3 pbc="T T T"
Mg 0.000 0.000 0.000
Zn 0.000 1.917 3.327
Zn 3.136 1.917 5.527
Zn 3.145 0.000 2.244
S 2.337 1.917 3.325
S 2.442 0.000 0.007
S 5.451 1.917 5.475
S 5.474 0.000 2.287
```

# 5
## MgZrS3 (SCAN)

Data for a crystal of MgZrS3 relaxed with PBEsol.

The calculation puts the formation energy without anion corrections at -981.7 meV/atom. As for the space group: No. 221.

```
5
Lattice="4.912 0.000 0.000 0.000 4.912 0.000 0.000 0.000 4.912" Properties=species:S:1:pos:R:3 pbc="T T T"
Mg 0.000 0.000 0.000
Zr 2.456 2.456 2.456
S 0.000 2.456 2.456
S 2.456 0.000 2.456
S 2.456 2.456 0.000
```

# 6
## MgZrS2 (SCAN)

Data for a crystal of MgZrS2 relaxed with PBEsol.

The calculation puts the formation energy without anion corrections at -1339.9 meV/atom. As for the space group: No. 166.

```
12
Lattice="3.525 0.000 0.000 -1.763 3.053 0.000 0.000 0.000 24.514" Properties=species:S:1:pos:R:3 pbc="T T T"
Mg 0.000 0.000 0.000
Mg 0.000 2.035 16.342
Mg 1.763 1.018 8.171
Zr 0.000 0.000 12.257
Zr 0.000 2.035 4.086
Zr 1.763 1.018 20.428
S 0.000 0.000 2.536
S 0.000 0.000 21.977
S 0.000 2.035 13.806
S 0.000 2.035 18.879
S 1.763 1.018 5.635
S 1.763 1.018 10.708
```

# 7
## MgZrS3 (SCAN)

Data for a crystal of MgZrS3 relaxed with PBEsol.

The calculation puts the formation energy without anion corrections at -455.2 meV/atom. As for the space group: No. 221.

```
5
Lattice="4.588 0.000 0.000 0.000 4.588 0.000 0.000 0.000 4.588" Properties=species:S:1:pos:R:3 pbc="T T T"
Mg 0.000 0.000 0.000
Zr 2.294 2.294 2.294
S 0.000 0.000 2.294
S 0.000 2.294 0.000
S 2.294 0.000 0.000
```

# 8
## MgSb2 (SCAN)

Data for a crystal of MgSb2 relaxed with PBEsol.

The calculation puts the formation energy without anion corrections at 40.0 meV/atom. As for the space group: No. 194.

```
6
Lattice="5.142 0.000 0.000 -2.571 4.453 0.000 0.000 0.000 6.458" Properties=species:S:1:pos:R:3 pbc="T T T"
Mg 0.000 2.969 1.615
Mg 2.571 1.484 4.844
Sb 0.000 0.000 0.000
Sb 0.000 0.000 3.229
Sb 0.000 2.969 4.844
Sb 2.571 1.484 1.615
```

# 9
## MgSb4 (SCAN)

Data for a crystal of MgSb4 relaxed with PBEsol.

The calculation puts the formation energy without anion corrections at 156.8 meV/atom. As for the space group: No. 139.

```
10
Lattice="5.891 0.000 0.000 0.000 5.891 0.000 0.000 0.000 8.734" Properties=species:S:1:pos:R:3 pbc="T T T"
Mg 0.000 0.000 0.000
Mg 2.946 2.946 4.367
Sb 0.000 0.000 2.857
Sb 0.000 0.000 5.878
Sb 0.000 2.946 2.184
Sb 0.000 2.946 6.551
Sb 2.946 0.000 2.184
Sb 2.946 0.000 6.551
Sb 2.946 2.946 1.511
Sb 2.946 2.946 7.224
```

# 10
## Mg3Sb2 (SCAN)

Data for a crystal of Mg3Sb2 relaxed with PBEsol.

The calculation puts the formation energy without anion corrections at -410.2 meV/atom. As for the space group: No. 164.

```
5
Lattice="4.557 0.000 0.000 -2.278 3.946 0.000 0.000 0.000 7.192" Properties=species:S:1:pos:R:3 pbc="T T T"
Mg 0.000 0.000 0.000
Mg 0.000 2.631 2.643
Mg 2.278 1.315 4.549
Sb 0.000 2.631 5.582
Sb 2.278 1.315 1.610
```

# 11
## MgSb2 (SCAN)

Data for a crystal of MgSb2 relaxed with PBEsol.

The calculation puts the formation energy without anion corrections at -57.8 meV/atom. As for the space group: No. 71.

```
6
Lattice="3.331 0.000 0.000 0.000 4.101 0.000 0.000 0.000 11.076" Properties=species:S:1:pos:R:3 pbc="T T T"
Mg 0.000 0.000 0.000
Mg 1.666 2.050 5.538
Sb 0.000 0.000 4.008
Sb 0.000 0.000 7.069
Sb 1.666 2.050 1.531
Sb 1.666 2.050 9.546
```

# 12
## Mg3Sb2 (SCAN)

Data for a crystal of Mg3Sb2 relaxed with PBEsol.

The calculation puts the formation energy without anion corrections at -425.9 meV/atom. As for the space group: No. 206.

```
40
Lattice="-6.646 6.646 6.646 6.646 -6.646 6.646 6.646 6.646 -6.646" Properties=species:S:1:pos:R:3 pbc="T T T"
Mg 8.110 1.774 -1.696
Mg 1.774 1.696 -1.464
Mg 1.696 -1.464 1.774
Mg 4.872 1.696 1.464
Mg 5.183 4.872 -1.696
Mg 8.342 1.464 1.774
Mg 8.342 -1.464 4.872
Mg -1.464 1.774 1.696
Mg 4.872 -1.696 5.183
Mg 1.696 1.464 4.872
Mg 1.774 -1.696 8.110
Mg 1.464 4.872 1.696
Mg 5.183 1.774 4.950
Mg 4.872 8.342 -1.464
Mg 4.950 5.183 1.774
Mg 1.774 8.342 1.464
Mg 8.110 4.872 4.950
Mg -1.696 8.110 1.774
Mg -1.696 5.183 4.872
Mg 1.464 1.774 8.342
Mg 1.774 4.950 5.183
Mg 4.950 8.110 4.872
Mg 4.872 4.950 8.110
Mg -1.464 4.872 8.342
Sb 0.000 0.000 0.000
Sb 6.646 0.000 0.000
Sb 6.646 -3.323 3.535
Sb 9.969 3.111 0.000
Sb 3.535 6.646 -3.323
Sb 3.535 0.000 3.323
Sb 3.323 3.535 0.000
Sb 6.646 3.323 3.111
Sb 0.000 6.646 0.000
Sb 0.000 0.000 6.646
Sb 0.000 3.323 3.535
Sb 3.323 3.111 6.646
Sb 3.111 6.646 3.323
Sb 3.111 0.000 9.969
Sb -3.323 3.535 6.646
Sb 0.000 9.969 3.111
```

# 13
## MgSb2 (SCAN)

Data for a crystal of MgSb2 relaxed with PBEsol.

The calculation puts the formation energy without anion corrections at -88.1 meV/atom. As for the space group: No. 123.

```
3
Lattice="4.399 0.000 0.000 0.000 4.399 0.000 0.000 0.000 4.308" Properties=species:S:1:pos:R:3 pbc="T T T"
Mg 0.000 0.000 0.000
Sb 0.000 2.199 2.154
Sb 2.199 0.000 2.154
```

# 14
## Mg7Sb (SCAN)

Data for a crystal of Mg7Sb relaxed with PBEsol.

The calculation puts the formation energy without anion corrections at -85.0 meV/atom. As for the space group: No. 225.

```
8
Lattice="0.000 4.483 4.483 4.483 0.000 4.483 4.483 4.483 0.000" Properties=species:S:1:pos:R:3 pbc="T T T"
Mg 0.000 0.000 0.000
Mg 2.242 2.242 0.000
Mg 2.242 0.000 2.242
Mg 4.483 2.242 2.242
Mg 0.000 2.242 2.242
Mg 2.242 4.483 2.242
Mg 2.242 2.242 4.483
Sb 4.483 4.483 4.483
```

# 15
## MgSb2 (SCAN)

Data for a crystal of MgSb2 relaxed with PBEsol.

The calculation puts the formation energy without anion corrections at -47.1 meV/atom. As for the space group: No. 139.

```
6
Lattice="3.273 0.000 0.000 0.000 3.273 0.000 0.000 0.000 13.771" Properties=species:S:1:pos:R:3 pbc="T T T"
Mg 0.000 0.000 0.000
Mg 1.637 1.637 6.885
Sb 0.000 0.000 4.816
Sb 0.000 0.000 8.955
Sb 1.637 1.637 2.070
Sb 1.637 1.637 11.701
```

# 16
## MgSc2Sb (SCAN)

Data for a crystal of MgSc2Sb relaxed with PBEsol.

The calculation puts the formation energy without anion corrections at -374.8 meV/atom. As for the space group: No. 225.

```
16
Lattice="7.017 0.000 0.000 0.000 7.017 0.000 0.000 0.000 7.017" Properties=species:S:1:pos:R:3 pbc="T T T"
Mg 0.000 0.000 0.000
Mg 0.000 3.509 3.509
Mg 3.509 0.000 3.509
Mg 3.509 3.509 0.000
Sc 1.754 1.754 1.754
Sc 1.754 1.754 5.263
Sc 1.754 5.263 1.754
Sc 1.754 5.263 5.263
Sc 5.263 1.754 1.754
Sc 5.263 1.754 5.263
Sc 5.263 5.263 1.754
Sc 5.263 5.263 5.263
Sb 0.000 0.000 3.509
Sb 0.000 3.509 0.000
Sb 3.509 0.000 0.000
Sb 3.509 3.509 3.509
```

# 17
## MgSc2Sb2 (SCAN)

Data for a crystal of MgSc2Sb2 relaxed with PBEsol.

The calculation puts the formation energy without anion corrections at -744.2 meV/atom. As for the space group: No. 127.

```
10
Lattice="7.713 0.000 0.000 0.000 7.713 0.000 0.000 0.000 3.850" Properties=species:S:1:pos:R:3 pbc="T T T"
Mg 0.000 0.000 0.000
Mg 3.857 3.857 0.000
Sc 1.157 2.700 1.925
Sc 2.700 6.557 1.925
Sc 5.013 1.157 1.925
Sc 6.557 5.013 1.925
Sb 1.176 5.033 0.000
Sb 2.681 1.176 0.000
Sb 5.033 6.537 0.000
Sb 6.537 2.681 0.000
```

# 18
## MgSc2Sb (SCAN)

Data for a crystal of MgSc2Sb relaxed with PBEsol.

The calculation puts the formation energy without anion corrections at -478.8 meV/atom. As for the space group: No. 38.

```
8
Lattice="4.185 0.000 0.000 0.000 4.001 0.000 0.000 0.000 10.922" Properties=species:S:1:pos:R:3 pbc="T T T"
Mg 0.000 0.000 0.000
Mg 0.000 2.000 5.461
Sc 0.000 0.000 2.924
Sc 0.000 2.000 8.385
Sc 2.092 0.000 6.055
Sc 2.092 2.000 0.594
Sb 2.092 0.000 9.025
Sb 2.092 2.000 3.563
```

# 19
## MgSc4Sb (SCAN)

Data for a crystal of MgSc4Sb relaxed with PBEsol.

The calculation puts the formation energy without anion corrections at 94.1 meV/atom. As for the space group: No. 216.

```
6
Lattice="0.000 4.135 4.135 4.135 0.000 4.135 4.135 4.135 0.000" Properties=species:S:1:pos:R:3 pbc="T T T"
Mg 0.000 0.000 0.000
Sc 5.169 3.100 3.100
Sc 3.100 5.169 3.100
Sc 3.100 3.100 5.169
Sc 5.169 5.169 5.169
Sb 2.067 2.067 2.067
```

# 20
## MgSbSe2 (SCAN)

Data for a crystal of MgSbSe2 relaxed with PBEsol.

The calculation puts the formation energy without anion corrections at -513.9 meV/atom. As for the space group: No. 166.

```
12
Lattice="3.835 0.000 0.000 -1.918 3.322 0.000 0.000 0.000 21.620" Properties=species:S:1:pos:R:3 pbc="T T T"
Mg 0.000 0.000 0.000
Mg 0.000 2.214 14.413
Mg 1.918 1.107 7.207
Sb 0.000 0.000 10.810
Sb 0.000 2.214 3.603
Sb 1.918 1.107 18.017
Se 0.000 0.000 5.620
Se 0.000 0.000 16.000
Se 0.000 2.214 8.793
Se 0.000 2.214 20.033
Se 1.918 1.107 1.587
Se 1.918 1.107 12.827
```

# 21
## MgSb2Se (SCAN)

Data for a crystal of MgSb2Se relaxed with PBEsol.

The calculation puts the formation energy without anion corrections at -191.5 meV/atom. As for the space group: No. 8.

```
8
Lattice="14.758 0.000 0.000 0.000 3.467 0.000 -1.055 0.000 3.976" Properties=species:S:1:pos:R:3 pbc="T T T"
Mg 0.000 0.000 0.000
Mg 7.379 1.733 0.000
Sb 2.801 0.000 3.106
Sb 5.432 0.000 1.604
Sb 10.180 1.733 3.106
Sb 12.811 1.733 1.604
Se 1.851 1.733 0.571
Se 9.230 0.000 0.571
```

# 22
## MgSbSe2 (SCAN)

Data for a crystal of MgSbSe2 relaxed with PBEsol.

The calculation puts the formation energy without anion corrections at -352.1 meV/atom. As for the space group: No. 71.

```
8
Lattice="3.950 0.000 0.000 0.000 6.572 0.000 0.000 0.000 7.530" Properties=species:S:1:pos:R:3 pbc="T T T"
Mg 0.000 0.000 0.000
Mg 1.975 3.286 3.765
Sb 0.000 0.000 3.765
Sb 1.975 3.286 0.000
Se 0.000 3.286 1.986
Se 0.000 3.286 5.543
Se 1.975 0.000 1.779
Se 1.975 0.000 5.751
```

# 23
## MgSb2Se (SCAN)

Data for a crystal of MgSb2Se relaxed with PBEsol.

The calculation puts the formation energy without anion corrections at -277.8 meV/atom. As for the space group: No. 139.

```
8
Lattice="5.867 0.000 0.000 0.000 5.867 0.000 0.000 0.000 5.870" Properties=species:S:1:pos:R:3 pbc="T T T"
Mg 0.000 0.000 0.000
Mg 2.934 2.934 2.935
Sb 0.000 2.934 0.000
Sb 0.000 2.934 2.935
Sb 2.934 0.000 0.000
Sb 2.934 0.000 2.935
Se 0.000 0.000 2.935
Se 2.934 2.934 0.000
```

# 24
## MgSbSe2 (SCAN)

Data for a crystal of MgSbSe2 relaxed with PBEsol.

The calculation puts the formation energy without anion corrections at -185.6 meV/atom. As for the space group: No. 166.

```
12
Lattice="4.090 0.000 0.000 -2.045 3.542 0.000 0.000 0.000 24.970" Properties=species:S:1:pos:R:3 pbc="T T T"
Mg 0.000 0.000 0.000
Mg 0.000 2.361 16.647
Mg 2.045 1.181 8.323
Sb 0.000 0.000 12.485
Sb 0.000 2.361 4.162
Sb 2.045 1.181 20.808
Se 0.000 0.000 2.553
Se 0.000 0.000 22.417
Se 0.000 2.361 14.094
Se 0.000 2.361 19.199
Se 2.045 1.181 5.771
Se 2.045 1.181 10.876
```

# 25
## MgSbSe2 (SCAN)

Data for a crystal of MgSbSe2 relaxed with PBEsol.

The calculation puts the formation energy without anion corrections at -527.8 meV/atom. As for the space group: No. 12.

```
8
Lattice="7.521 0.000 0.000 0.000 3.731 0.000 -1.790 0.000 6.653" Properties=species:S:1:pos:R:3 pbc="T T T"
Mg 0.000 0.000 0.000
Mg 3.761 1.865 0.000
Sb -0.895 1.865 3.326
Sb 2.866 0.000 3.326
Se 1.247 1.865 1.510
Se 0.723 0.000 5.143
Se 5.008 0.000 1.510
Se 4.484 1.865 5.143
```

# 26
## MgSbSe2 (SCAN)

Data for a crystal of MgSbSe2 relaxed with PBEsol.

The calculation puts the formation energy without anion corrections at -629.2 meV/atom. As for the space group: No. 47.

```
4
Lattice="4.041 0.000 0.000 0.000 4.080 0.000 0.000 0.000 5.727" Properties=species:S:1:pos:R:3 pbc="T T T"
Mg 0.000 0.000 0.000
Sb 2.020 2.040 2.864
Se 0.000 0.000 2.864
Se 2.020 2.040 0.000
```